1.
An optimized crystal structure of Li2Ni3WO8, computed with GGA-PBEsol.

## Properties
Density of states at the Fermi level = 0.2797 states/eV/atom
Distance to the lowest polymorph of the same formula = 0.000 eV/atom
Space-group type = P6_3mc, No. 186

Unit cell a=5.7500 b=5.7500 c=9.4244 alpha=90.00 beta=90.00 gamma=120.00
Closest atoms and distances in Å follow each position.
Sites, in units of the cell vectors:
Li 0.6667 0.3333 0.0947  4 O 1.92-2.02
Li 0.0000 0.0000 0.5099  4 O 1.80-1.93
Li 0.3333 0.6667 0.5947  4 O 1.92-2.02
Li 0.0000 0.0000 0.0099  4 O 1.80-1.93
O 0.3390 0.1695 0.4109  1 W 1.88, 1 Li 1.93, 2 Ni 2.06
O 0.6667 0.3333 0.8803  3 Ni 1.86, 1 Li 2.02
O 0.9646 0.4823 0.6534  1 Li 1.92, 2 Ni 2.00, 1 W 2.01
O 0.0000 0.0000 0.7011  1 Li 1.80, 3 Ni 1.86
O 0.0354 0.5177 0.1534  1 Li 1.92, 2 Ni 2.00, 1 W 2.01
O 0.5177 0.0354 0.6534  1 Li 1.92, 2 Ni 2.00, 1 W 2.01
O 0.3333 0.6667 0.3803  3 Ni 1.86, 1 Li 2.02
O 0.4823 0.5177 0.1534  1 Li 1.92, 2 Ni 2.00, 1 W 2.01
O 0.1695 0.8305 0.9109  1 W 1.88, 1 Li 1.93, 2 Ni 2.06
O 0.5177 0.4823 0.6534  1 Li 1.92, 2 Ni 2.00, 1 W 2.01
O 0.6610 0.8305 0.9109  1 W 1.88, 1 Li 1.93, 2 Ni 2.06
O 0.8305 0.6610 0.4109  1 W 1.88, 1 Li 1.93, 2 Ni 2.06
O 0.0000 0.0000 0.2011  1 Li 1.80, 3 Ni 1.86
O 0.8305 0.1695 0.4109  1 W 1.88, 1 Li 1.93, 2 Ni 2.06
O 0.4823 0.9646 0.1534  1 Li 1.92, 2 Ni 2.00, 1 W 2.01
O 0.1695 0.3390 0.9109  1 W 1.88, 1 Li 1.93, 2 Ni 2.06
W 0.3333 0.6667 0.0102  6 O 1.88-2.01
W 0.6667 0.3333 0.5102  6 O 1.88-2.01
Ni 0.8308 0.6617 0.7858  6 O 1.86-2.06
Ni 0.1692 0.3383 0.2858  6 O 1.86-2.06
Ni 0.8308 0.1692 0.7858  6 O 1.86-2.06
Ni 0.6617 0.8308 0.2858  6 O 1.86-2.06
Ni 0.3383 0.1692 0.7858  6 O 1.86-2.06
Ni 0.1692 0.8308 0.2858  6 O 1.86-2.06

---

2.
An optimized crystal structure of ZnCuSe2N, computed with GGA-PBEsol.

## Properties
VASP energy = -3.377 eV/atom
Density of states at the Fermi level = 0.8958 states/eV/atom
Space-group type = P4/mmm, No. 123

Unit cell a=3.5816 b=5.0014 c=5.0014 alpha=90.00 beta=90.00 gamma=90.00
Closest atoms and distances in Å follow each position.
Sites, in units of the cell vectors:
Zn 0.0000 0.0000 0.0000  2 N 1.79
Se 0.0000 0.5000 0.0000  2 Zn 2.50
Se 0.0000 0.0000 0.5000  2 Zn 2.50
Cu 0.5000 0.5000 0.5000  8 Se 3.08
N 0.5000 0.0000 0.0000  2 Zn 1.79

---

3.
An optimized crystal structure of Cs2As2Pd, computed with GGA-PBEsol.

## Properties
Energy of formation = -0.52 eV per atom
Space-group type = Cmcm, No. 63

Unit cell a=6.2586 b=6.9348 c=8.2950 alpha=65.29 beta=90.00 gamma=90.00
Closest atoms and distances in Å follow each position.
Sites, in units of the cell vectors:
As 0.7500 0.0727 0.2028  1 As 2.42, 2 Pd 2.50
As 0.7500 0.7245 0.2028  1 As 2.42, 2 Pd 2.50
As 0.2500 0.9273 0.7972  1 As 2.42, 2 Pd 2.50
As 0.2500 0.2755 0.7972  1 As 2.42, 2 Pd 2.50
Pd 0.5000 0.0000 0.0000  4 As 2.50
Pd 0.0000 0.0000 0.0000  4 As 2.50
Cs 0.7500 0.2079 0.5842  2 Pd 3.50, 6 As 3.66-3.72
Cs 0.2500 0.7921 0.4158  2 Pd 3.50, 6 As 3.66-3.72
Cs 0.2500 0.4144 0.1712  6 As 3.61-3.87, 2 Cs 3.93, 4 Pd 4.02
Cs 0.7500 0.5856 0.8288  6 As 3.61-3.87, 2 Cs 3.93, 4 Pd 4.02

---

4.
An optimized crystal structure of LaYMg6, computed with GGA-PBEsol.

## Properties
Density of states at the Fermi level = 0.9197 states/eV/atom
Distance to the lowest polymorph of the same formula = 0.027 eV/atom
Energy of formation = -0.08 eV per atom
Space-group type = Amm2, No. 38

Unit cell a=5.1963 b=6.7318 c=6.7318 alpha=120.11 beta=90.00 gamma=90.00
Closest atoms and distances in Å follow each position.
Sites, in units of the cell vectors:
La 0.5000 0.4171 0.5829  12 Mg 3.28-3.37
Mg 0.5000 0.9149 0.5786  8 Mg 3.21-3.42, 2 Y 3.26, 2 La 3.37
Mg 0.0000 0.5892 0.4108  8 Mg 3.22-3.49, 2 La 3.28, 2 Y 3.36
Mg 0.5000 0.4214 0.0851  8 Mg 3.21-3.42, 2 Y 3.26, 2 La 3.37
Mg 0.5000 0.9143 0.0857  8 Mg 3.22-3.42, 2 Y 3.26, 2 La 3.36
Mg 0.0000 0.5885 0.9283  8 Mg 3.21-3.49, 2 La 3.29, 2 Y 3.37
Mg 0.0000 0.0717 0.4115  8 Mg 3.21-3.49, 2 La 3.29, 2 Y 3.37
Y 0.0000 0.0829 0.9171  12 Mg 3.26-3.37

---

5.
An optimized crystal structure of Hf3ZnO, computed with GGA-PBEsol.

## Properties
VASP energy = -8.694 eV/atom
Density of states at the Fermi level = 0.6768 states/eV/atom
Space-group type = Pm-3m, No. 221

Unit cell a=4.3273 b=4.3273 c=4.3273 alpha=90.00 beta=90.00 gamma=90.00
Closest atoms and distances in Å follow each position.
Sites, in units of the cell vectors:
O 0.0000 0.0000 0.0000  6 Hf 2.16
Hf 0.5000 0.0000 0.0000  2 O 2.16
Hf 0.0000 0.5000 0.0000  2 O 2.16
Hf 0.0000 0.0000 0.5000  2 O 2.16
Zn 0.5000 0.5000 0.5000  12 Hf 3.06

---

6.
An optimized crystal structure of Mn2CoIr, computed with GGA-PBEsol.

## Properties
Density of states at the Fermi level = 1.0500 states/eV/atom
Energy of formation = -0.06 eV per atom
Space-group type = P4/mmm, No. 123

Unit cell a=3.5582 b=3.5582 c=3.5797 alpha=90.00 beta=90.00 gamma=90.00
Closest atoms and distances in Å follow each position.
Sites, in units of the cell vectors:
Mn 0.5000 0.0000 0.0000  4 Mn 2.52, 4 Co 2.52, 4 Ir 2.52
Mn 0.0000 0.5000 0.0000  4 Mn 2.52, 4 Co 2.52, 4 Ir 2.52
Ir 0.0000 0.0000 0.5000  4 Co 2.52, 8 Mn 2.52
Co 0.5000 0.5000 0.5000  4 Ir 2.52, 8 Mn 2.52

---

7.
An optimized crystal structure of ZrAlOs, computed with GGA-PBEsol.

## Properties
Density of states at the Fermi level = 0.9844 states/eV/atom
Energy of formation = -0.51 eV per atom
Space-group type = Amm2, No. 38

Unit cell a=5.2372 b=5.2372 c=8.3454 alpha=90.00 beta=90.00 gamma=119.40
Closest atoms and distances in Å follow each position.
Sites, in units of the cell vectors:
Zr 0.6650 0.3350 0.2012  5 Os 2.90-3.13, 7 Al 3.04-3.11, 3 Zr 3.18-3.21
Zr 0.6650 0.3350 0.7988  5 Os 2.90-3.13, 7 Al 3.04-3.11, 3 Zr 3.18-3.21
Zr 0.3276 0.6724 0.3202  7 Os 2.97-3.07, 5 Al 2.97-3.15, 4 Zr 3.00-3.21
Zr 0.3276 0.6724 0.6798  7 Os 2.97-3.07, 5 Al 2.97-3.15, 4 Zr 3.00-3.21
Os 0.1690 0.8310 0.0000  6 Al 2.55-2.68
Os 0.3405 0.1672 0.5000  2 Al 2.59, 4 Os 2.60-2.68
Os 0.8363 0.1637 0.5000  2 Al 2.58, 4 Os 2.61-2.63
Os 0.8328 0.6595 0.5000  2 Al 2.59, 4 Os 2.60-2.68
Al 0.0051 0.9949 0.7499  4 Os 2.56-2.59, 2 Al 2.63
Al 0.0051 0.9949 0.2501  4 Os 2.56-2.59, 2 Al 2.63
Al 0.1698 0.3437 0.0000  2 Os 2.55-2.68, 4 Al 2.57-2.71
Al 0.6563 0.8302 0.0000  2 Os 2.55-2.68, 4 Al 2.57-2.71

---

8.
An optimized crystal structure of InSe, computed with GGA-PBEsol.

## Properties
VASP energy = -3.887 eV/atom
Space-group type = C2/m, No. 12

Unit cell a=4.1103 b=4.5017 c=6.2385 alpha=109.58 beta=109.23 gamma=90.00
Closest atoms and distances in Å follow each position.
Sites, in units of the cell vectors:
In 0.3853 0.5236 0.7706  3 Se 2.67-2.70, 1 In 2.78
In 0.6147 0.4764 0.2294  3 Se 2.67-2.70, 1 In 2.78
Se 0.1534 0.1340 0.3069  3 In 2.67-2.70
Se 0.8466 0.8660 0.6931  3 In 2.67-2.70

---

9.
An optimized crystal structure of CuPtF2, computed with GGA-PBEsol.

## Properties
VASP energy = -4.237 eV/atom
Density of states at the Fermi level = 1.0896 states/eV/atom
Space-group type = R-3m, No. 166

Unit cell a=2.6860 b=2.6860 c=7.8892 alpha=80.20 beta=80.20 gamma=60.00
Closest atoms and distances in Å follow each position.
Sites, in units of the cell vectors:
F 0.9229 0.9229 0.2313  1 Cu 1.79
F 0.0771 0.0771 0.7687  1 Cu 1.79
Pt 0.5000 0.5000 0.5000  6 F 2.59, 6 Pt 2.69
Cu 0.0000 0.0000 0.0000  2 F 1.79

---

10.
An optimized crystal structure of CaCd2Pb, computed with GGA-PBEsol.

## Properties
Density of states at the Fermi level = 0.4021 states/eV/atom
Energy of formation = -0.22 eV per atom
Space-group type = C2/m, No. 12

Unit cell a=3.4823 b=5.4218 c=5.7789 alpha=101.54 beta=107.54 gamma=90.00
Closest atoms and distances in Å follow each position.
Sites, in units of the cell vectors:
Cd 0.2500 0.2500 0.5001  6 Cd 3.22-3.48, 3 Pb 3.30-3.32, 3 Ca 3.30-3.32
Cd 0.7500 0.7500 0.4999  6 Cd 3.22-3.48, 3 Pb 3.30-3.32, 3 Ca 3.30-3.32
Pb 0.0000 0.5000 0.0000  4 Ca 3.22, 6 Cd 3.30-3.32, 2 Pb 3.48
Ca 0.5000 0.0000 0.0000  4 Pb 3.22, 6 Cd 3.30-3.32, 2 Ca 3.48

---

11.
An optimized crystal structure of KHf3N, computed with GGA-PBEsol.

## Properties
VASP energy = -8.087 eV/atom
Density of states at the Fermi level = 0.9606 states/eV/atom
Space-group type = Pm-3m, No. 221

Unit cell a=4.5667 b=4.5667 c=4.5667 alpha=90.00 beta=90.00 gamma=90.00
Closest atoms and distances in Å follow each position.
Sites, in units of the cell vectors:
K 0.5000 0.5000 0.5000  12 Hf 3.23
N 0.0000 0.0000 0.0000  6 Hf 2.28
Hf 0.5000 0.0000 0.0000  2 N 2.28
Hf 0.0000 0.5000 0.0000  2 N 2.28
Hf 0.0000 0.0000 0.5000  2 N 2.28

---

12.
An optimized crystal structure of Ba2MoN3, computed with GGA-PBEsol.

## Properties
VASP energy = -7.859 eV/atom
Density of states at the Fermi level = 0.3551 states/eV/atom
Space-group type = Cmce, No. 64

Unit cell a=5.9997 b=6.5745 c=13.2525 alpha=90.00 beta=90.00 gamma=117.15
Closest atoms and distances in Å follow each position.
Sites, in units of the cell vectors:
Ba 0.1413 0.2826 0.9148  7 N 2.73-3.04
Ba 0.4358 0.8717 0.8655  4 N 2.73-3.02
Ba 0.5642 0.1283 0.1345  4 N 2.73-3.02
Ba 0.9358 0.8717 0.6345  4 N 2.73-3.02
Ba 0.0642 0.1283 0.3655  4 N 2.73-3.02
Ba 0.3587 0.7174 0.4148  7 N 2.73-3.04
Ba 0.6413 0.2826 0.5852  7 N 2.73-3.04
Ba 0.8587 0.7174 0.0852  7 N 2.73-3.04
Mo 0.2385 0.4769 0.1615  4 N 1.84-1.93
Mo 0.7615 0.5231 0.8385  4 N 1.84-1.93
Mo 0.7385 0.4769 0.3385  4 N 1.84-1.93
Mo 0.2615 0.5231 0.6615  4 N 1.84-1.93
N 0.3407 0.6815 0.0539  1 Mo 1.86
N 0.4871 0.4743 0.7500  2 Mo 1.93
N 0.5129 0.5257 0.2500  2 Mo 1.93
N 0.9871 0.4743 0.7500  2 Mo 1.93
N 0.4119 0.8238 0.6216  1 Mo 1.84
N 0.8407 0.6815 0.4461  1 Mo 1.86
N 0.9119 0.8238 0.8784  1 Mo 1.84
N 0.6593 0.3185 0.9461  1 Mo 1.86
N 0.0881 0.1762 0.1216  1 Mo 1.84
N 0.0129 0.5257 0.2500  2 Mo 1.93
N 0.5881 0.1762 0.3784  1 Mo 1.84
N 0.1593 0.3185 0.5539  1 Mo 1.86